No. 1
## NpBiS2N (PBE-GGA)

Data for a relaxed NpBiS2N crystal.

a b c (Å): 3.9013 3.9013 14.1400
angles (deg): 90.00 90.00 90.00
Element x y z (fractional)
Np (0.5000, 0.0000, 0.5802)
Np (0.0000, 0.5000, 0.4198)
Bi (0.5000, 0.0000, 0.1347)
Bi (0.0000, 0.5000, 0.8653)
S (0.0000, 0.5000, 0.6813)
S (0.0000, 0.5000, 0.1017)
S (0.5000, 0.0000, 0.8983)
S (0.5000, 0.0000, 0.3187)
N (0.0000, 0.0000, 0.5000)
N (0.5000, 0.5000, 0.5000)

* calculated density: 8.1 g/cm³
* magnetization: 2.931 μB per formula unit
* density of states at the Fermi level: 1.69 states/eV/atom
* formation energy without anion corrections: -0.81 eV per atom

***

No. 2
## AlSe3N (PBE-GGA)

Data for a relaxed AlSe3N crystal.

a b c (Å): 4.9164 4.9164 4.9164
angles (deg): 90.00 90.00 90.00
Element x y z (fractional)
Al (0.0000, 0.0000, 0.0000)
Se (0.0000, 0.5000, 0.0000)
Se (0.0000, 0.0000, 0.5000)
Se (0.5000, 0.0000, 0.0000)
N (0.5000, 0.5000, 0.5000)

* calculated density: 3.9 g/cm³
* magnetization: 1.883 μB per formula unit
* density of states at the Fermi level: 0.87 states/eV/atom
* formation energy without anion corrections: 1.13 eV per atom
* relative energy among the computed polymorphs: 0.351 eV per atom

***

No. 3
## Sr2ThI8 (PBE-GGA)

Data for a relaxed Sr2ThI8 crystal.

a b c (Å): 7.5831 8.6248 8.6248
angles (deg): 76.73 75.65 75.65
Element x y z (fractional)
Sr (0.4481, 0.3343, 0.3343)
Sr (0.5519, 0.6657, 0.6657)
Th (0.0000, 0.0000, 0.0000)
I (0.2487, 0.6541, 0.0491)
I (0.7513, 0.9509, 0.3459)
I (0.2533, 0.1333, 0.1333)
I (0.7467, 0.8667, 0.8667)
I (0.2487, 0.0491, 0.6541)
I (0.7513, 0.3459, 0.9509)
I (0.7920, 0.4239, 0.4239)
I (0.2080, 0.5761, 0.5761)

* calculated density: 4.5 g/cm³
* magnetization: 0.000 μB per formula unit
* density of states at the Fermi level: 0.00 states/eV/atom
* formation energy without anion corrections: -1.41 eV per atom

***

No. 4
## Li2Mg2Cd2Ag (PBE-GGA)

Data for a relaxed Li2Mg2Cd2Ag crystal.

a b c (Å): 4.7367 4.7367 7.3564
angles (deg): 71.22 71.22 60.00
Element x y z (fractional)
Li (0.7178, 0.7178, 0.8465)
Li (0.2822, 0.2822, 0.1535)
Mg (0.5796, 0.5796, 0.2611)
Mg (0.4204, 0.4204, 0.7389)
Cd (0.1402, 0.1402, 0.5795)
Cd (0.8598, 0.8598, 0.4205)
Ag (0.0000, 0.0000, 0.0000)

* calculated density: 4.9 g/cm³
* formation energy: -3.73 kcal/mol of atoms
* magnetization: 0.000 μB per formula unit
* density of states at the Fermi level: 0.37 states/eV/atom

***

No. 5
## Zn2MoBr (PBE-GGA)

Data for a relaxed Zn2MoBr crystal.

a b c (Å): 4.6700 4.6700 4.6700
angles (deg): 60.00 60.00 60.00
Element x y z (fractional)
Br (0.5000, 0.5000, 0.5000)
Mo (0.7500, 0.7500, 0.7500)
Zn (0.0000, 0.0000, 0.0000)
Zn (0.2500, 0.2500, 0.2500)

* calculated density: 7.1 g/cm³
* magnetization: 2.759 μB per formula unit
* density of states at the Fermi level: 0.56 states/eV/atom
* formation energy without anion corrections: 0.76 eV per atom
* relative energy among the computed polymorphs: 0.530 eV per atom

***

No. 6
## PuInAgPt (PBE-GGA)

Data for a relaxed PuInAgPt crystal.

a b c (Å): 4.9280 4.9280 4.9280
angles (deg): 60.00 60.00 60.00
Element x y z (fractional)
In (0.5000, 0.5000, 0.5000)
Ag (0.7500, 0.7500, 0.7500)
Pt (0.2500, 0.2500, 0.2500)
Pu (0.0000, 0.0000, 0.0000)

* calculated density: 13.0 g/cm³
* formation energy: -7.60 kcal/mol of atoms
* magnetization: 5.268 μB per formula unit
* density of states at the Fermi level: 3.34 states/eV/atom

***

No. 7
## SrCeAl4 (PBE-GGA)

Data for a relaxed SrCeAl4 crystal.

a b c (Å): 5.7305 5.7305 5.7305
angles (deg): 60.00 60.00 60.00
Element x y z (fractional)
Sr (0.2500, 0.2500, 0.2500)
Al (0.6259, 0.6259, 0.1223)
Al (0.6259, 0.1223, 0.6259)
Al (0.6259, 0.6259, 0.6259)
Al (0.1223, 0.6259, 0.6259)
Ce (0.0000, 0.0000, 0.0000)

* calculated density: 4.2 g/cm³
* formation energy: -7.19 kcal/mol of atoms
* magnetization: 0.790 μB per formula unit
* density of states at the Fermi level: 1.42 states/eV/atom

***

No. 8
## Ti7VPb2 (PBE-GGA)

Data for a relaxed Ti7VPb2 crystal.

a b c (Å): 6.6051 6.6051 6.6051
angles (deg): 60.00 60.00 60.00
Element x y z (fractional)
Ti (0.5000, 0.5000, 0.5000)
Ti (0.2457, 0.7543, 0.7543)
Ti (0.2457, 0.7543, 0.2457)
Ti (0.7543, 0.2457, 0.7543)
Ti (0.7543, 0.7543, 0.2457)
Ti (0.2457, 0.2457, 0.7543)
Ti (0.7543, 0.2457, 0.2457)
V (0.0000, 0.0000, 0.0000)
Pb (0.2500, 0.2500, 0.2500)
Pb (0.7500, 0.7500, 0.7500)

* calculated density: 6.5 g/cm³
* formation energy: 14.53 kcal/mol of atoms
* magnetization: 3.482 μB per formula unit
* density of states at the Fermi level: 1.41 states/eV/atom

***

Copy entry 8 word for word.
## Ti7VPb2 (PBE-GGA)

Data for a relaxed Ti7VPb2 crystal.

a b c (Å): 6.6051 6.6051 6.6051
angles (deg): 60.00 60.00 60.00
Element x y z (fractional)
Ti (0.5000, 0.5000, 0.5000)
Ti (0.2457, 0.7543, 0.7543)
Ti (0.2457, 0.7543, 0.2457)
Ti (0.7543, 0.2457, 0.7543)
Ti (0.7543, 0.7543, 0.2457)
Ti (0.2457, 0.2457, 0.7543)
Ti (0.7543, 0.2457, 0.2457)
V (0.0000, 0.0000, 0.0000)
Pb (0.2500, 0.2500, 0.2500)
Pb (0.7500, 0.7500, 0.7500)

* calculated density: 6.5 g/cm³
* formation energy: 14.53 kcal/mol of atoms
* magnetization: 3.482 μB per formula unit
* density of states at the Fermi level: 1.41 states/eV/atom

***

Q: Which of these has the lowest calculated density?
A: AlSe3N

***

Q: The highest density of states at the Fermi level belongs to which entry?
A: PuInAgPt